! PBE NbCo3Te, optimized geometry; values from VASP
! - ΔE_f (raw): 1.26 eV/atom
! - Volume: 18.4 Å³ per atom
! - Crystal system: cubic
! - M_tot: 0.00 μB per cell
&SYSTEM
  ibrav = 0, nat = 5, ntyp = 3
/
ATOMIC_SPECIES
Nb 92.91 Nb.upf
Te 127.60 Te.upf
Co 58.93 Co.upf
CELL_PARAMETERS angstrom
4.5128 0.0000 0.0000
0.0000 4.5128 0.0000
0.0000 0.0000 4.5128
ATOMIC_POSITIONS crystal
Nb 0.0000 0.0000 0.0000
Te 0.5000 0.5000 0.5000
Co 0.0000 0.5000 0.0000
Co 0.0000 0.0000 0.5000
Co 0.5000 0.0000 0.0000

***

! PBE NbCoTe2, optimized geometry; values from VASP
! - ΔE_f (raw): 0.25 eV/atom
! - Volume: 19.2 Å³ per atom
! - Crystal system: cubic
! - M_tot: 0.87 μB per cell
&SYSTEM
  ibrav = 0, nat = 4, ntyp = 3
/
ATOMIC_SPECIES
Nb 92.91 Nb.upf
Te 127.60 Te.upf
Co 58.93 Co.upf
CELL_PARAMETERS angstrom
0.0000 3.3761 3.3761
3.3761 0.0000 3.3761
3.3761 3.3761 0.0000
ATOMIC_POSITIONS crystal
Nb 0.5000 0.5000 0.5000
Te 0.2500 0.2500 0.2500
Te 0.7500 0.7500 0.7500
Co 0.0000 0.0000 0.0000

***

! PBE NbCoTe2, optimized geometry; values from VASP
! - ΔE_f (raw): 0.20 eV/atom
! - Volume: 23.7 Å³ per atom
! - Crystal system: trigonal
! - M_tot: 1.58 μB per cell
&SYSTEM
  ibrav = 0, nat = 4, ntyp = 3
/
ATOMIC_SPECIES
Nb 92.91 Nb.upf
Te 127.60 Te.upf
Co 58.93 Co.upf
CELL_PARAMETERS angstrom
-6.5653 3.1935 -5.2088
-8.4134 1.4399 -2.7522
-7.3122 4.7425 -2.1154
ATOMIC_POSITIONS crystal
Nb 0.5000 0.5000 0.5000
Te 0.9064 0.9064 0.9064
Te 0.0936 0.0936 0.0936
Co 0.0000 0.0000 0.0000

***

! PBE NbCoTe3, optimized geometry; values from VASP
! - ΔE_f (raw): 0.71 eV/atom
! - Volume: 23.8 Å³ per atom
! - Crystal system: cubic
! - M_tot: 0.00 μB per cell
&SYSTEM
  ibrav = 0, nat = 5, ntyp = 3
/
ATOMIC_SPECIES
Nb 92.91 Nb.upf
Te 127.60 Te.upf
Co 58.93 Co.upf
CELL_PARAMETERS angstrom
-3.4082 1.9005 -2.9921
1.4580 -3.0318 -3.5864
-3.2309 -3.3729 1.5378
ATOMIC_POSITIONS crystal
Nb 0.5000 0.5000 0.5000
Te 0.0000 0.5000 0.0000
Te 0.0000 0.0000 0.5000
Te 0.5000 0.0000 0.0000
Co 0.0000 0.0000 0.0000

***

! PBE Nb2CoTe6, optimized geometry; values from VASP
! - ΔE_f (raw): -0.18 eV/atom
! - Volume: 24.0 Å³ per atom
! - Crystal system: monoclinic
! - M_tot: 0.00 μB per cell
&SYSTEM
  ibrav = 0, nat = 18, ntyp = 3
/
ATOMIC_SPECIES
Nb 92.91 Nb.upf
Co 58.93 Co.upf
Te 127.60 Te.upf
CELL_PARAMETERS angstrom
-5.1334 -3.7715 2.7564
-1.6491 -2.3969 -6.3508
5.2541 -7.1120 1.3199
ATOMIC_POSITIONS crystal
Nb 0.9790 0.3471 0.7442
Nb 0.5210 0.8471 0.7558
Nb 0.4790 0.1529 0.2442
Nb 0.0210 0.6529 0.2558
Co 0.5000 0.5000 0.0000
Co 0.0000 0.0000 0.5000
Te 0.8578 0.0090 0.2419
Te 0.8423 0.6700 0.5727
Te 0.8352 0.6605 0.9319
Te 0.6648 0.1605 0.5681
Te 0.6577 0.1700 0.9273
Te 0.6422 0.5090 0.2581
Te 0.1422 0.9910 0.7581
Te 0.1577 0.3300 0.4273
Te 0.1648 0.3395 0.0681
Te 0.3352 0.8395 0.4319
Te 0.3423 0.8300 0.0727
Te 0.3578 0.4910 0.7419

***

! PBE NbCoTe2, optimized geometry; values from VASP
! - ΔE_f (raw): 0.29 eV/atom
! - Volume: 26.4 Å³ per atom
! - Crystal system: tetragonal
! - M_tot: 0.00 μB per cell
&SYSTEM
  ibrav = 0, nat = 8, ntyp = 3
/
ATOMIC_SPECIES
Nb 92.91 Nb.upf
Te 127.60 Te.upf
Co 58.93 Co.upf
CELL_PARAMETERS angstrom
6.1054 0.0000 0.0000
0.0000 6.1054 0.0000
3.0527 3.0527 5.6640
ATOMIC_POSITIONS crystal
Nb 0.0000 0.0000 0.0000
Nb 0.7500 0.2500 0.5000
Te 0.5891 0.1250 0.2500
Te 0.1609 0.6250 0.2500
Te 0.3750 0.4109 0.7500
Te 0.8750 0.8391 0.7500
Co 0.5000 0.5000 0.0000
Co 0.2500 0.7500 0.5000

***

! PBE NbCoTe3, optimized geometry; values from VASP
! - ΔE_f (raw): -0.21 eV/atom
! - Volume: 26.5 Å³ per atom
! - Crystal system: monoclinic
! - M_tot: 0.00 μB per cell
&SYSTEM
  ibrav = 0, nat = 10, ntyp = 3
/
ATOMIC_SPECIES
Nb 92.91 Nb.upf
Co 58.93 Co.upf
Te 127.60 Te.upf
CELL_PARAMETERS angstrom
1.8171 9.4224 -0.1869
-1.8171 9.4224 -0.1869
0.0000 5.7927 7.6329
ATOMIC_POSITIONS crystal
Nb 0.0236 0.0236 0.3085
Nb 0.9764 0.9764 0.6915
Co 0.3164 0.3164 0.8958
Co 0.6836 0.6836 0.1042
Te 0.4518 0.4518 0.1902
Te 0.6084 0.6084 0.4217
Te 0.3916 0.3916 0.5783
Te 0.8338 0.8338 0.0449
Te 0.5482 0.5482 0.8098
Te 0.1662 0.1662 0.9551

***

! PBE NbCoTe2, optimized geometry; values from VASP
! - ΔE_f (raw): -0.38 eV/atom
! - Volume: 23.8 Å³ per atom
! - Crystal system: orthorhombic
! - M_tot: 0.00 μB per cell
&SYSTEM
  ibrav = 0, nat = 16, ntyp = 3
/
ATOMIC_SPECIES
Nb 92.91 Nb.upf
Te 127.60 Te.upf
Co 58.93 Co.upf
CELL_PARAMETERS angstrom
6.3753 0.0000 0.0000
0.0000 7.7951 0.0000
0.0000 -3.8975 7.6737
ATOMIC_POSITIONS crystal
Nb 0.5000 0.7065 0.0000
Nb 0.0000 0.7935 0.0000
Nb 0.5000 0.2935 0.0000
Nb 0.0000 0.2065 0.0000
Te 0.7500 0.0967 0.6934
Te 0.2500 0.4033 0.3066
Te 0.2500 0.9033 0.3066
Te 0.7500 0.5967 0.6934
Te 0.7440 0.1081 0.2162
Te 0.2440 0.3919 0.7838
Te 0.2560 0.8919 0.7838
Te 0.7560 0.6081 0.2162
Co 0.6441 0.9445 0.8889
Co 0.1441 0.5555 0.1111
Co 0.3559 0.0555 0.1111
Co 0.8559 0.4445 0.8889

***

! PBE NbTlCoTe3, optimized geometry; values from VASP
! - ΔE_f (raw): -0.30 eV/atom
! - Volume: 27.4 Å³ per atom
! - Crystal system: monoclinic
! - M_tot: 1.37 μB per cell
&SYSTEM
  ibrav = 0, nat = 12, ntyp = 4
/
ATOMIC_SPECIES
Nb 92.91 Nb.upf
Tl 204.38 Tl.upf
Co 58.93 Co.upf
Te 127.60 Te.upf
CELL_PARAMETERS angstrom
-1.3110 0.9631 -3.3479
8.1705 -1.2452 -3.5575
-6.8979 -8.6556 0.2112
ATOMIC_POSITIONS crystal
Nb 0.2500 0.7250 0.1883
Nb 0.7500 0.2750 0.8117
Tl 0.2500 0.3287 0.3005
Tl 0.7500 0.6713 0.6995
Co 0.2500 0.0855 0.6110
Co 0.7500 0.9145 0.3890
Te 0.7500 0.9436 0.1720
Te 0.2500 0.0564 0.8280
Te 0.2500 0.7709 0.4518
Te 0.7500 0.2291 0.5482
Te 0.7500 0.4458 0.1104
Te 0.2500 0.5542 0.8896

***

! PBE Nb2Tl2CoTe6, optimized geometry; values from VASP
! - ΔE_f (raw): -0.22 eV/atom
! - Volume: 30.2 Å³ per atom
! - Crystal system: monoclinic
! - M_tot: 1.02 μB per cell
&SYSTEM
  ibrav = 0, nat = 11, ntyp = 4
/
ATOMIC_SPECIES
Nb 92.91 Nb.upf
Tl 204.38 Tl.upf
Co 58.93 Co.upf
Te 127.60 Te.upf
CELL_PARAMETERS angstrom
6.6948 -0.0555 0.1378
-3.3571 5.7925 0.1378
-1.0691 -1.8376 8.5311
ATOMIC_POSITIONS crystal
Nb 0.3715 0.6285 0.5000
Nb 0.6285 0.3715 0.5000
Tl 0.7911 0.2089 0.0000
Tl 0.2089 0.7911 0.0000
Co 0.0000 0.0000 0.5000
Te 0.7616 0.7616 0.7206
Te 0.0244 0.3628 0.6703
Te 0.2384 0.2384 0.2794
Te 0.3628 0.0244 0.6703
Te 0.9756 0.6372 0.3297
Te 0.6372 0.9756 0.3297

***

! PBE NbCo2TeW, optimized geometry; values from VASP
! - ΔE_f (raw): 1.58 eV/atom
! - Volume: 19.5 Å³ per atom
! - Crystal system: tetragonal
! - M_tot: 1.65 μB per cell
&SYSTEM
  ibrav = 0, nat = 5, ntyp = 4
/
ATOMIC_SPECIES
Nb 92.91 Nb.upf
Te 127.60 Te.upf
Co 58.93 Co.upf
W 183.84 W.upf
CELL_PARAMETERS angstrom
4.4256 0.0000 0.0000
0.0000 4.9804 0.0000
0.0000 0.0000 4.4256
ATOMIC_POSITIONS crystal
Nb 0.5000 0.5000 0.5000
Te 0.0000 0.0000 0.0000
Co 0.0000 0.0000 0.5000
Co 0.5000 0.0000 0.0000
W 0.0000 0.5000 0.0000

***

! PBE ZrNbCo2Te, optimized geometry; values from VASP
! - ΔE_f (raw): 1.09 eV/atom
! - Volume: 21.3 Å³ per atom
! - Crystal system: tetragonal
! - M_tot: 1.12 μB per cell
&SYSTEM
  ibrav = 0, nat = 5, ntyp = 4
/
ATOMIC_SPECIES
Nb 92.91 Nb.upf
Te 127.60 Te.upf
Co 58.93 Co.upf
Zr 91.22 Zr.upf
CELL_PARAMETERS angstrom
4.5000 0.0000 0.0000
0.0000 5.2564 0.0000
0.0000 0.0000 4.5000
ATOMIC_POSITIONS crystal
Nb 0.5000 0.5000 0.5000
Te 0.0000 0.0000 0.0000
Co 0.0000 0.0000 0.5000
Co 0.5000 0.0000 0.0000
Zr 0.0000 0.5000 0.0000

***

! PBE ThNbCo, optimized geometry; values from VASP
! - Volume: 22.4 Å³ per atom
! - Crystal system: trigonal
! - Calculated formation energy: 2.13 kcal/mol of atoms
! - M_tot: 0.00 μB per cell
&SYSTEM
  ibrav = 0, nat = 6, ntyp = 3
/
ATOMIC_SPECIES
Nb 92.91 Nb.upf
Co 58.93 Co.upf
Th 232.04 Th.upf
CELL_PARAMETERS angstrom
4.0645 0.0000 0.0000
2.0322 3.5200 0.0000
2.0322 1.1733 9.4138
ATOMIC_POSITIONS crystal
Nb 0.2985 0.2985 0.1046
Nb 0.7015 0.7015 0.8954
Co 0.3887 0.3887 0.8340
Co 0.6113 0.6113 0.1660
Th 0.8810 0.8810 0.3571
Th 0.1190 0.1190 0.6429